Record 1
The following is a PBE calculation of a geometry-optimized SrZn6Ni3 structure, from Alexandria via LeMat-Bulk.

Output
Total DFT energy (no corrections) = -28.253 eV/cell
Symmetry = Cm
Spin magnetization = 0.00 μB per formula unit

a = 5.3387 Å, b = 5.3387 Å, c = 7.1543 Å
α = 111.92°, β = 111.92°, γ = 60.15°
Fractional positions:
Sr 0.0000 0.0000 0.0000
Zn 0.0998 0.5932 0.2858
Zn 0.3876 0.3876 0.6657
Zn 0.3879 0.8908 0.6663
Zn 0.5932 0.0998 0.2858
Zn 0.5936 0.5936 0.2858
Zn 0.8908 0.3879 0.6663
Ni 0.3281 0.3281 0.9838
Ni 0.6600 0.6600 0.9803
Ni 0.8570 0.8570 0.5682

Record 2
The following is a PBE calculation of a geometry-optimized SrZnNi structure, from Alexandria via LeMat-Bulk.

Output
Total DFT energy (no corrections) = -8.753 eV/cell
Symmetry = I4mm
Spin magnetization = 0.00 μB per formula unit

a = 5.8474 Å, b = 5.8474 Å, c = 5.8474 Å
α = 145.89°, β = 145.89°, γ = 49.00°
Fractional positions:
Sr 0.0000 0.0000 0.0000
Zn 0.2815 0.2815 0.0000
Ni 0.7105 0.7105 0.0000

Record 3
The following is a PBE calculation of a geometry-optimized Sr2Zn2Ni3 structure, from Alexandria via LeMat-Bulk.

Output
Total DFT energy (no corrections) = -24.370 eV/cell
Symmetry = C2/m
Spin magnetization = 0.00 μB per formula unit

a = 5.9629 Å, b = 5.9629 Å, c = 6.6312 Å
α = 102.36°, β = 102.36°, γ = 40.56°
Fractional positions:
Sr 0.1733 0.1733 0.2115
Sr 0.8267 0.8267 0.7885
Zn 0.0861 0.0861 0.6840
Zn 0.9139 0.9139 0.3160
Ni 0.4495 0.4495 0.1339
Ni 0.5000 0.5000 0.5000
Ni 0.5505 0.5505 0.8661

Record 4
The following is a PBE calculation of a geometry-optimized Sr3Zn2Ni structure, from Alexandria via LeMat-Bulk.

Output
Total DFT energy (no corrections) = -57.718 eV/cell
Symmetry = Pnma
Spin magnetization = 0.00 μB per formula unit

a = 12.7199 Å, b = 4.3589 Å, c = 13.1165 Å
α = 90.00°, β = 90.00°, γ = 90.00°
Fractional positions:
Sr 0.0613 0.2500 0.1280
Sr 0.1122 0.7500 0.5537
Sr 0.2130 0.2500 0.7958
Sr 0.2870 0.7500 0.2958
Sr 0.3878 0.2500 0.0537
Sr 0.4387 0.7500 0.6280
Sr 0.5613 0.2500 0.3720
Sr 0.6122 0.7500 0.9463
Sr 0.7130 0.2500 0.7042
Sr 0.7870 0.7500 0.2042
Sr 0.8878 0.2500 0.4463
Sr 0.9387 0.7500 0.8720
Zn 0.0386 0.7500 0.3176
Zn 0.2120 0.7500 0.9823
Zn 0.2880 0.2500 0.4823
Zn 0.4614 0.2500 0.8176
Zn 0.5386 0.7500 0.1824
Zn 0.7120 0.7500 0.5177
Zn 0.7880 0.2500 0.0177
Zn 0.9614 0.2500 0.6824
Ni 0.1258 0.2500 0.3689
Ni 0.3742 0.7500 0.8689
Ni 0.6258 0.2500 0.1311
Ni 0.8742 0.7500 0.6311

Record 5
The following is a PBE calculation of a geometry-optimized SrZrNi2 structure, from Alexandria via LeMat-Bulk.

Output
Total DFT energy (no corrections) = -22.503 eV/cell
Symmetry = P4/mmm
Spin magnetization = 0.00 μB per formula unit

a = 3.3505 Å, b = 3.3505 Å, c = 7.1853 Å
α = 90.00°, β = 90.00°, γ = 90.00°
Fractional positions:
Sr 0.0000 0.0000 0.0000
Zr 0.0000 0.0000 0.5000
Ni 0.5000 0.5000 0.3183
Ni 0.5000 0.5000 0.6817

Record 6
The following is a PBE calculation of a geometry-optimized SrZr2Ni2 structure, from Alexandria via LeMat-Bulk.

Output
Total DFT energy (no corrections) = -60.650 eV/cell
Symmetry = P4/mbm
Spin magnetization = 0.00 μB per formula unit

a = 7.8911 Å, b = 7.8911 Å, c = 3.3299 Å
α = 90.00°, β = 90.00°, γ = 90.00°
Fractional positions:
Sr 0.0000 0.0000 0.0000
Sr 0.5000 0.5000 0.0000
Zr 0.1490 0.3510 0.5000
Zr 0.3510 0.8510 0.5000
Zr 0.6490 0.1490 0.5000
Zr 0.8510 0.6490 0.5000
Ni 0.1172 0.6172 0.0000
Ni 0.3828 0.1172 0.0000
Ni 0.6172 0.8828 0.0000
Ni 0.8828 0.3828 0.0000

Record 7
The following is a PBE calculation of a geometry-optimized SrZrNi2 structure, from Alexandria via LeMat-Bulk.

Output
Total DFT energy (no corrections) = -21.284 eV/cell
Symmetry = P4mm
Spin magnetization = 0.00 μB per formula unit

a = 3.3687 Å, b = 3.3687 Å, c = 7.4796 Å
α = 90.00°, β = 90.00°, γ = 90.00°
Fractional positions:
Sr 0.0000 0.0000 0.0000
Zr 0.5000 0.5000 0.4118
Ni 0.0000 0.0000 0.5709
Ni 0.5000 0.5000 0.7323

Record 8
The following is a PBE calculation of a geometry-optimized SrZr3Ni structure, from Alexandria via LeMat-Bulk.

Output
Total DFT energy (no corrections) = -31.617 eV/cell
Symmetry = Pm-3m
Spin magnetization = 0.00 μB per formula unit

a = 5.0625 Å, b = 5.0625 Å, c = 5.0625 Å
α = 90.00°, β = 90.00°, γ = 90.00°
Fractional positions:
Sr 0.0000 0.0000 0.0000
Zr 0.0000 0.5000 0.5000
Zr 0.5000 0.0000 0.5000
Zr 0.5000 0.5000 0.0000
Ni 0.5000 0.5000 0.5000

Record 9
The following is a PBE calculation of a geometry-optimized Sr2ZrNi2 structure, from Alexandria via LeMat-Bulk.

Output
Total DFT energy (no corrections) = -45.610 eV/cell
Symmetry = P4/mbm
Spin magnetization = 0.00 μB per formula unit

a = 6.9414 Å, b = 6.9414 Å, c = 5.0064 Å
α = 90.00°, β = 90.00°, γ = 90.00°
Fractional positions:
Sr 0.1761 0.3239 0.0000
Sr 0.3239 0.8239 0.0000
Sr 0.6761 0.1761 0.0000
Sr 0.8239 0.6761 0.0000
Zr 0.0000 0.0000 0.5000
Zr 0.5000 0.5000 0.5000
Ni 0.1229 0.6229 0.5000
Ni 0.3771 0.1229 0.5000
Ni 0.6229 0.8771 0.5000
Ni 0.8771 0.3771 0.5000

Record 10
The following is a PBE calculation of a geometry-optimized SrZrNi2 structure, from Alexandria via LeMat-Bulk.

Output
Total DFT energy (no corrections) = -21.250 eV/cell
Symmetry = Fm-3m
Spin magnetization = 0.00 μB per formula unit

a = 4.7813 Å, b = 4.7813 Å, c = 4.7813 Å
α = 60.00°, β = 60.00°, γ = 60.00°
Fractional positions:
Sr 0.0000 0.0000 0.0000
Zr 0.5000 0.5000 0.5000
Ni 0.2500 0.2500 0.2500
Ni 0.7500 0.7500 0.7500

Record 11
The following is a PBE calculation of a geometry-optimized SrZrNi2 structure, from Alexandria via LeMat-Bulk.

Output
Total DFT energy (no corrections) = -40.895 eV/cell
Symmetry = I-42d
Spin magnetization = 0.00 μB per formula unit

a = 6.1695 Å, b = 6.1695 Å, c = 6.1695 Å
α = 107.08°, β = 107.08°, γ = 114.36°
Fractional positions:
Sr 0.0000 0.0000 0.0000
Sr 0.7500 0.2500 0.5000
Zr 0.2500 0.7500 0.5000
Zr 0.5000 0.5000 0.0000
Ni 0.1756 0.6250 0.0506
Ni 0.3750 0.4256 0.5506
Ni 0.5744 0.1250 0.9494
Ni 0.8750 0.8244 0.4494

Record 12
The following is a PBE calculation of a geometry-optimized SrZrNi2 structure, from Alexandria via LeMat-Bulk.

Output
Total DFT energy (no corrections) = -21.938 eV/cell
Symmetry = Cm
Spin magnetization = 0.00 μB per formula unit

a = 4.0703 Å, b = 4.0703 Å, c = 7.1378 Å
α = 106.55°, β = 106.55°, γ = 60.10°
Fractional positions:
Sr 0.0000 0.0000 0.0000
Zr 0.8267 0.8267 0.4795
Ni 0.2202 0.2202 0.6600
Ni 0.5552 0.5552 0.6642

Record 13
The following is a PBE calculation of a geometry-optimized SrZrNi2 structure, from Alexandria via LeMat-Bulk.

Output
Total DFT energy (no corrections) = -21.699 eV/cell
Symmetry = Imm2
Spin magnetization = 0.00 μB per formula unit

a = 6.8679 Å, b = 6.8679 Å, c = 6.8679 Å
α = 148.89°, β = 147.50°, γ = 45.60°
Fractional positions:
Sr 0.0000 0.0000 0.0000
Zr 0.2570 0.7570 0.5000
Ni 0.6227 0.6227 0.0000
Ni 0.7465 0.2465 0.5000

Record 14
The following is a PBE calculation of a geometry-optimized SrZr2Ni2 structure, from Alexandria via LeMat-Bulk.

Output
Total DFT energy (no corrections) = -29.824 eV/cell
Symmetry = I4/mmm
Spin magnetization = 1.04 μB per formula unit

a = 6.1810 Å, b = 6.1810 Å, c = 6.1810 Å
α = 134.89°, β = 134.89°, γ = 65.70°
Fractional positions:
Sr 0.0000 0.0000 0.0000
Zr 0.3437 0.3437 0.0000
Zr 0.6563 0.6563 0.0000
Ni 0.2500 0.7500 0.5000
Ni 0.7500 0.2500 0.5000

Record 15
The following is a PBE calculation of a geometry-optimized SrZr2Ni2 structure, from Alexandria via LeMat-Bulk.

Output
Total DFT energy (no corrections) = -30.825 eV/cell
Symmetry = I4/mmm
Spin magnetization = 0.00 μB per formula unit

a = 6.1623 Å, b = 6.1623 Å, c = 6.1623 Å
α = 136.69°, β = 136.69°, γ = 62.92°
Fractional positions:
Sr 0.0000 0.0000 0.0000
Zr 0.2500 0.7500 0.5000
Zr 0.7500 0.2500 0.5000
Ni 0.3809 0.3809 0.0000
Ni 0.6191 0.6191 0.0000

Record 16
The following is a PBE calculation of a geometry-optimized SrZrNi2 structure, from Alexandria via LeMat-Bulk.

Output
Total DFT energy (no corrections) = -20.015 eV/cell
Symmetry = F-43m
Spin magnetization = 0.00 μB per formula unit

a = 4.6553 Å, b = 4.6553 Å, c = 4.6553 Å
α = 60.00°, β = 60.00°, γ = 60.00°
Fractional positions:
Sr 0.0000 0.0000 0.0000
Zr 0.2500 0.2500 0.2500
Ni 0.5000 0.5000 0.5000
Ni 0.7500 0.7500 0.7500

Record 17
The following is a PBE calculation of a geometry-optimized SrZr2Ni2 structure, from Alexandria via LeMat-Bulk.

Output
Total DFT energy (no corrections) = -60.195 eV/cell
Symmetry = P4/mbm
Spin magnetization = 0.00 μB per formula unit

a = 8.0014 Å, b = 8.0014 Å, c = 3.1140 Å
α = 90.00°, β = 90.00°, γ = 90.00°
Fractional positions:
Sr 0.0000 0.0000 0.0000
Sr 0.5000 0.5000 0.0000
Zr 0.1426 0.3574 0.0000
Zr 0.3574 0.8574 0.0000
Zr 0.6426 0.1426 0.0000
Zr 0.8574 0.6426 0.0000
Ni 0.1371 0.6371 0.5000
Ni 0.3629 0.1371 0.5000
Ni 0.6371 0.8629 0.5000
Ni 0.8629 0.3629 0.5000

Record 18
The following is a PBE calculation of a geometry-optimized SrZrNi2 structure, from Alexandria via LeMat-Bulk.

Output
Total DFT energy (no corrections) = -21.480 eV/cell
Symmetry = P4/mmm
Spin magnetization = 0.00 μB per formula unit

a = 4.8849 Å, b = 4.8849 Å, c = 3.2084 Å
α = 90.00°, β = 90.00°, γ = 90.00°
Fractional positions:
Sr 0.0000 0.0000 0.0000
Zr 0.5000 0.5000 0.0000
Ni 0.0000 0.5000 0.5000
Ni 0.5000 0.0000 0.5000

Record 19
The following is a PBE calculation of a geometry-optimized SrZrNi2 structure, from Alexandria via LeMat-Bulk.

Output
Total DFT energy (no corrections) = -22.037 eV/cell
Symmetry = Amm2
Spin magnetization = 0.00 μB per formula unit

a = 3.9816 Å, b = 6.2725 Å, c = 6.2725 Å
α = 33.87°, β = 90.00°, γ = 90.00°
Fractional positions:
Sr 0.0000 0.0000 0.0000
Zr 0.5000 0.7300 0.7300
Ni 0.0000 0.2635 0.2635
Ni 0.5000 0.3790 0.3790

Record 20
The following is a PBE calculation of a geometry-optimized SrZrNi2 structure, from Alexandria via LeMat-Bulk.

Output
Total DFT energy (no corrections) = -22.103 eV/cell
Symmetry = R-3m
Spin magnetization = 0.00 μB per formula unit

a = 6.0374 Å, b = 6.0374 Å, c = 6.0374 Å
α = 42.52°, β = 42.52°, γ = 42.52°
Fractional positions:
Sr 0.0000 0.0000 0.0000
Zr 0.5000 0.5000 0.5000
Ni 0.1978 0.1978 0.1978
Ni 0.8022 0.8022 0.8022